1.
Computed, not measured: a geometry-optimized La2Pm2Pd15 structure at the GGA-PBE level of DFT.

Calculated values
Volume: 18.9 Å³ per atom
Calculated formation energy: -575 meV/atom

Cell: 7.1866 7.1866 7.1866 Å, 81.00 81.00 81.00°
Closest atoms and distances in Å follow each position.
Atoms (fractional coordinates):
La  0.1385  0.1385  0.1385  12 Pd 3.19-3.40
La  0.8615  0.8615  0.8615  12 Pd 3.19-3.40
Pm  0.3915  0.3915  0.3915  6 Pd 2.82-2.94, 1 Pm 3.09
Pm  0.6085  0.6085  0.6085  6 Pd 2.82-2.94, 1 Pm 3.09
Pd  0.0000  0.5000  0.5000  8 Pd 2.73-2.79, 2 Pm 2.82
Pd  0.1502  0.1502  0.6614  8 Pd 2.66-2.95, 1 Pm 2.94
Pd  0.1502  0.6614  0.1502  8 Pd 2.66-2.95, 1 Pm 2.94
Pd  0.1906  0.5000  0.8094  8 Pd 2.79-2.95
Pd  0.1906  0.8094  0.5000  8 Pd 2.79-2.95
Pd  0.3386  0.8498  0.8498  8 Pd 2.66-2.95, 1 Pm 2.94
Pd  0.5000  0.0000  0.5000  8 Pd 2.73-2.79, 2 Pm 2.82
Pd  0.5000  0.1906  0.8094  8 Pd 2.79-2.95
Pd  0.5000  0.5000  0.0000  8 Pd 2.73-2.79, 2 Pm 2.82
Pd  0.5000  0.8094  0.1906  8 Pd 2.79-2.95
Pd  0.6614  0.1502  0.1502  8 Pd 2.66-2.95, 1 Pm 2.94
Pd  0.8094  0.1906  0.5000  8 Pd 2.79-2.95
Pd  0.8094  0.5000  0.1906  8 Pd 2.79-2.95
Pd  0.8498  0.3386  0.8498  8 Pd 2.66-2.95, 1 Pm 2.94
Pd  0.8498  0.8498  0.3386  8 Pd 2.66-2.95, 1 Pm 2.94

2.
Computed, not measured: a geometry-optimized RbZnFe2B structure at the GGA-PBE level of DFT.

Calculated values
Volume: 19.2 Å³ per atom
Calculated formation energy: 1006 meV/atom

Cell: 4.0758 4.0758 5.7681 Å, 90.00 90.00 90.00°
Closest atoms and distances in Å follow each position.
Atoms (fractional coordinates):
Rb  0.0000  0.0000  0.0000  4 Zn 2.88, 2 B 2.88
Zn  0.5000  0.5000  0.0000  4 Rb 2.88
Fe  0.0000  0.5000  0.5000  2 B 2.04
Fe  0.5000  0.0000  0.5000  2 B 2.04
B  0.0000  0.0000  0.5000  4 Fe 2.04

3.
Computed, not measured: a geometry-optimized La2Sm3Ni2 structure at the GGA-PBE level of DFT.

Calculated values
Volume: 27.7 Å³ per atom
Calculated formation energy: -201 meV/atom

Cell: 6.4095 6.4095 9.2072 Å, 112.36 112.36 34.01°
Closest atoms and distances in Å follow each position.
Atoms (fractional coordinates):
La  0.1680  0.1680  0.3047  2 Ni 2.89
La  0.8320  0.8320  0.6953  2 Ni 2.89
Sm  0.3838  0.3838  0.0761  2 Ni 2.82
Sm  0.5000  0.5000  0.5000  4 Ni 2.93
Sm  0.6162  0.6162  0.9239  2 Ni 2.82
Ni  0.1637  0.1637  0.7281  4 Sm 2.82-2.93, 2 La 2.89
Ni  0.8363  0.8363  0.2719  4 Sm 2.82-2.93, 2 La 2.89

What is the formula in the first record?
La2Pm2Pd15